! Cs4Pm3DyTe8 (PBE-GGA, relaxed); values from VASP
&SYSTEM
  ibrav = 0, nat = 16, ntyp = 4
/
ATOMIC_SPECIES
Cs 132.91 Cs.upf
Pm 145.00 Pm.upf
Dy 162.50 Dy.upf
Te 127.60 Te.upf
CELL_PARAMETERS angstrom
-5.5245 -5.8893 -4.5181
6.1366 0.6805 -8.3905
4.0853 -2.6101 7.8819
ATOMIC_POSITIONS angstrom
Cs -2.7622 -2.9447 -2.2591
Cs -0.7196 -4.2497 1.6819
Cs 0.0000 0.0000 0.0000
Cs 2.0427 -1.3050 3.9409
Pm 0.3061 -2.6044 -6.4543
Pm 2.3487 -3.9095 -2.5134
Pm 5.1110 -0.9648 -0.2543
Dy 3.0683 0.3403 -4.1952
Te 6.9262 -3.3887 0.7622
Te 4.8505 -2.0625 -3.2424
Te 2.5849 -2.7744 0.4557
Te 4.1193 -6.3809 -1.5333
Te 0.5781 -1.4380 -3.4934
Te 2.1125 -5.0445 -5.4824
Te -0.1531 -5.7564 -1.7843
Te -2.2287 -4.4302 -5.7890
! Space group ... R-3m (166)
! Calculated density ... 5.4 g/cm3
! E_form (uncorrected) ... -1.40 eV/atom


! Pr4Co3B6 (PBE-GGA, relaxed); values from VASP
&SYSTEM
  ibrav = 0, nat = 13, ntyp = 3
/
ATOMIC_SPECIES
Pr 140.91 Pr.upf
Co 58.93 Co.upf
B 10.81 B.upf
CELL_PARAMETERS angstrom
7.8407 -2.6917 0.0027
7.8407 2.6917 0.0027
6.9150 0.0000 4.5721
ATOMIC_POSITIONS angstrom
Pr 16.7991 0.0000 3.4032
Pr 5.7972 0.0000 1.1744
Pr 13.3293 0.0000 2.7003
Pr 9.2671 0.0000 1.8773
Co 0.0000 0.0000 0.0000
Co 19.9790 0.0000 4.0474
Co 2.6174 0.0000 0.5302
B 11.6062 -0.8958 0.7681
B 11.2982 1.7917 2.2888
B 10.9901 -0.8958 3.8095
B 11.2982 -1.7917 2.2888
B 11.6062 0.8958 0.7681
B 10.9901 0.8958 3.8095
! Formation energy ... -0.26 eV/atom
! Density of states at the Fermi level ... 7.769 states/eV per cell
! Space group ... R-3m (166)
! Calculated density ... 6.9 g/cm3


! Sr3Ga2Pd3 (PBE-GGA, relaxed); values from VASP
&SYSTEM
  ibrav = 0, nat = 16, ntyp = 3
/
ATOMIC_SPECIES
Sr 87.62 Sr.upf
Ga 69.72 Ga.upf
Pd 106.42 Pd.upf
CELL_PARAMETERS angstrom
-3.8336 2.4258 0.3814
1.4011 -2.8869 5.2728
7.9811 11.9204 4.4057
ATOMIC_POSITIONS angstrom
Sr 0.7769 4.4812 6.4795
Sr 7.0302 10.3513 4.8271
Sr -1.4815 1.1080 5.2328
Sr 4.7717 6.9781 3.5804
Sr -0.0562 3.7559 2.7187
Sr 5.6048 7.7034 7.3412
Ga 5.0545 11.1069 7.3349
Ga 3.0565 4.1795 4.1395
Ga 2.4922 7.2798 5.9204
Ga 0.4941 0.3524 2.7250
Pd 1.6486 6.3140 3.5840
Pd 7.2960 10.2174 8.3505
Pd -1.7474 1.2419 1.7094
Pd 3.9000 5.1453 6.4759
Pd 1.6719 1.9304 4.5275
Pd 3.8767 9.5289 5.5324
! Formation energy ... -0.66 eV/atom
! Offset from the most stable computed form ... 0.29 eV per formula unit
! Density of states at the Fermi level ... 8.548 states/eV per cell
! Space group ... Cmcm (63)
! Calculated density ... 6.1 g/cm3


! Ti4FeCo2 (PBE-GGA, relaxed); values from VASP
&SYSTEM
  ibrav = 0, nat = 7, ntyp = 3
/
ATOMIC_SPECIES
Co 58.93 Co.upf
Fe 55.84 Fe.upf
Ti 47.87 Ti.upf
CELL_PARAMETERS angstrom
4.3637 0.0000 0.0000
0.0000 4.3637 0.0000
2.1819 2.1819 5.9421
ATOMIC_POSITIONS angstrom
Co 4.3637 4.3637 4.5708
Co 2.1819 2.1819 1.3713
Fe 0.0000 0.0000 0.0000
Ti 4.3637 4.3637 2.3471
Ti 2.1819 2.1819 3.5950
Ti 0.0000 2.1819 0.0000
Ti 2.1819 0.0000 0.0000
! Formation energy ... 0.31 eV/atom
! Offset from the most stable computed form ... 3.72 eV per formula unit
! Density of states at the Fermi level ... 9.996 states/eV per cell
! Space group ... I4/mmm (139)
! Calculated density ... 5.4 g/cm3


! CsAs6S8 (PBE-GGA, relaxed); values from VASP
&SYSTEM
  ibrav = 0, nat = 15, ntyp = 3
/
ATOMIC_SPECIES
Cs 132.91 Cs.upf
As 74.92 As.upf
S 32.06 S.upf
CELL_PARAMETERS angstrom
-4.8726 3.1959 5.3303
-4.6076 -6.4121 -0.1532
4.0946 -3.2618 5.9130
ATOMIC_POSITIONS angstrom
Cs 0.0000 0.0000 0.0000
As -1.4687 -3.7165 7.5772
As -3.6085 -5.4788 5.5087
As -4.5871 -2.4293 6.8148
As -3.9169 -2.7615 3.5128
As -1.7771 -0.9992 5.5813
As -0.7985 -4.0487 4.2753
S -3.7473 -4.5074 7.7164
S -1.6383 -1.9706 3.3736
S -5.6757 -5.0459 4.7831
S -3.5590 -0.9912 8.1795
S -0.4531 -5.6157 6.9865
S 0.2901 -1.4321 6.3069
S -1.8266 -5.4867 2.9106
S -4.9325 -0.8623 4.1035
! Density of states at the Fermi level ... 3.952 states/eV per cell
! Space group ... R-3 (148)
! Calculated density ... 2.8 g/cm3
! E_form (uncorrected) ... -0.12 eV/atom


! VBi4C2 (PBE-GGA, relaxed); values from VASP
&SYSTEM
  ibrav = 0, nat = 7, ntyp = 3
/
ATOMIC_SPECIES
C 12.01 C.upf
Bi 208.98 Bi.upf
V 50.94 V.upf
CELL_PARAMETERS angstrom
-1.0744 -5.0861 1.3474
2.7333 0.6355 4.5785
-4.5427 -0.3112 5.9044
ATOMIC_POSITIONS angstrom
C -3.1733 -2.7289 8.5717
C 0.2895 -2.0329 3.2586
Bi -0.6663 -3.6221 7.1991
Bi -2.2174 -1.1397 4.6312
Bi 1.3667 0.3178 2.2892
Bi -0.5372 -2.5430 0.6737
V 0.0000 0.0000 0.0000
! Formation energy ... 1.02 eV/atom
! Density of states at the Fermi level ... 3.837 states/eV per cell
! Space group ... I4/mmm (139)
! Calculated density ... 8.2 g/cm3


! AlSiPb2 (PBE-GGA, relaxed); values from VASP
&SYSTEM
  ibrav = 0, nat = 4, ntyp = 3
/
ATOMIC_SPECIES
Pb 207.20 Pb.upf
Si 28.09 Si.upf
Al 26.98 Al.upf
CELL_PARAMETERS angstrom
3.5402 0.0206 0.0000
-0.0187 3.5402 0.0000
0.0000 0.0000 7.8752
ATOMIC_POSITIONS angstrom
Pb 0.0000 0.0000 0.0922
Pb 0.0000 0.0000 3.8454
Si 1.7607 1.7804 1.9688
Al 1.7607 1.7804 5.9064
! Density of states at the Fermi level ... 1.997 states/eV per cell
! Space group ... P4/mmm (123)
! Calculated density ... 7.9 g/cm3
! E_form (uncorrected) ... 0.43 eV/atom


! Sr2Sb3Pd6 (PBE-GGA, relaxed); values from VASP
&SYSTEM
  ibrav = 0, nat = 11, ntyp = 3
/
ATOMIC_SPECIES
Sr 87.62 Sr.upf
Sb 121.76 Sb.upf
Pd 106.42 Pd.upf
CELL_PARAMETERS angstrom
4.6291 0.0000 0.0000
0.0000 7.8562 0.0000
0.0000 -3.9281 6.8037
ATOMIC_POSITIONS angstrom
Sr 0.0000 3.9281 2.2679
Sr 0.0000 0.0000 4.5358
Sb 2.3146 1.4433 2.4999
Sb 2.3146 4.9695 0.0000
Sb 2.3146 -2.4848 4.3037
Pd 2.3146 2.7750 4.8064
Pd 2.3146 -1.1531 1.9972
Pd 0.0000 0.7973 1.3810
Pd 0.0000 6.2615 0.0000
Pd 2.3146 2.3062 0.0000
Pd 0.0000 -3.1308 5.4227
! Density of states at the Fermi level ... 3.793 states/eV per cell
! Space group ... P-62m (189)
! Calculated density ... 7.9 g/cm3
! E_form (uncorrected) ... -0.65 eV/atom


! Sm4Zn5Ru2 (PBE-GGA, relaxed); values from VASP
&SYSTEM
  ibrav = 0, nat = 11, ntyp = 3
/
ATOMIC_SPECIES
Sm 150.36 Sm.upf
Zn 65.41 Zn.upf
Ru 101.07 Ru.upf
CELL_PARAMETERS angstrom
3.9345 0.0000 0.0000
0.0000 7.0304 -0.0169
0.0000 -0.7023 8.8724
ATOMIC_POSITIONS angstrom
Sm 1.9673 4.9353 4.9794
Sm 1.9673 0.6704 7.6287
Sm 1.9673 1.3929 3.8760
Sm 1.9673 5.6578 1.2267
Zn 0.0000 3.7159 2.7468
Zn 0.0000 1.2885 1.3881
Zn 0.0000 3.5152 -0.0085
Zn 0.0000 5.0397 7.4673
Zn 0.0000 2.6123 6.1086
Ru 0.0000 -0.0173 5.7349
Ru 0.0000 6.3455 3.1205
! Formation energy ... -0.26 eV/atom
! Density of states at the Fermi level ... 8.226 states/eV per cell
! Space group ... P2/m (10)
! Calculated density ... 7.7 g/cm3


! Pr2AlZn (PBE-GGA, relaxed); values from VASP
&SYSTEM
  ibrav = 0, nat = 8, ntyp = 3
/
ATOMIC_SPECIES
Pr 140.91 Pr.upf
Al 26.98 Al.upf
Zn 65.41 Zn.upf
CELL_PARAMETERS angstrom
-2.6107 -1.4743 -2.1821
-2.2014 -2.3470 4.2194
-6.1190 8.5344 1.5546
ATOMIC_POSITIONS angstrom
Pr -1.3161 0.4813 1.2494
Pr -7.0043 5.7061 4.5247
Pr -4.3901 4.7687 2.0304
Pr -3.9303 1.4188 3.7437
Al -4.1521 1.8789 0.5472
Al -6.7790 2.8342 3.0447
Zn -7.2236 6.1629 1.3276
Zn -3.7075 -1.4498 2.2643
! Formation energy ... -0.31 eV/atom
! Density of states at the Fermi level ... 8.431 states/eV per cell
! Space group ... Pmma (51)
! Calculated density ... 5.9 g/cm3


! Na2TiBeO4 (PBE-GGA, relaxed); values from VASP
&SYSTEM
  ibrav = 0, nat = 8, ntyp = 4
/
ATOMIC_SPECIES
Na 22.99 Na.upf
Ti 47.87 Ti.upf
Be 9.01 Be.upf
O 16.00 O.upf
CELL_PARAMETERS angstrom
-0.4682 4.5271 -2.6492
-1.4595 -4.6584 -1.9750
-3.1060 -1.3043 4.0476
ATOMIC_POSITIONS angstrom
Na -2.1052 -1.5564 -1.7940
Na 0.0000 0.0000 0.0000
Ti -2.9285 0.1207 1.2174
Be -2.2828 -2.9814 1.0363
O -2.3117 0.3930 -0.4877
O -2.2957 -1.4977 1.8021
O -1.6548 1.4769 -2.8705
O -3.8053 -3.2434 0.4029
! Density of states at the Fermi level ... 0.000 states/eV per cell
! Space group ... I-4 (82)
! Calculated density ... 2.8 g/cm3
! E_form (uncorrected) ... -2.47 eV/atom


! KZrHg2 (PBE-GGA, relaxed); values from VASP
&SYSTEM
  ibrav = 0, nat = 4, ntyp = 3
/
ATOMIC_SPECIES
Hg 200.59 Hg.upf
K 39.10 K.upf
Zr 91.22 Zr.upf
CELL_PARAMETERS angstrom
6.3025 -0.0253 0.0000
3.2318 5.4109 0.0000
-4.7672 -2.6928 3.1218
ATOMIC_POSITIONS angstrom
Hg 0.0000 0.0000 0.0000
Hg 1.6159 2.7055 1.5609
K 4.7672 2.6928 0.0000
Zr 3.1513 -0.0127 1.5609
! Formation energy ... 0.36 eV/atom
! Offset from the most stable computed form ... 1.61 eV per formula unit
! Density of states at the Fermi level ... 3.760 states/eV per cell
! Space group ... I-4m2 (119)
! Calculated density ... 8.3 g/cm3


Q: What is the calculated density in the eighth record?
A: 7.9 g/cm3